No. 1
La2YH2 after structural relaxation, computed with PBE.

It has space group I4/mmm (No. 139), with a = 4.396 Å, b = 4.396 Å, c = 11.756 Å, α = 90.00°, β = 90.00° and γ = 90.00°. Symmetry generates all atoms from La at (0.000, 0.000, 0.164), Y at (0.000, 0.000, 0.500) and H at (0.000, 0.500, 0.250).

For the density of states at the Fermi level, the calculation gives 1.263 states/eV/atom. The electronic total energy comes out at -4.799 eV/atom.

No. 2
NaEr2Hg after structural relaxation, computed with PBE.

It has space group P4/mmm (No. 123), with a = 5.190 Å, b = 5.190 Å, c = 3.927 Å, α = 90.00°, β = 90.00° and γ = 90.00°. Symmetry generates all atoms from Na at (0.000, 0.000, 0.000), Er at (0.000, 0.500, 0.500) and Hg at (0.500, 0.500, 0.000).

The formation enthalpy at 0 K is -0.04 eV per atom. For the density of states at the Fermi level, the calculation gives 0.637 states/eV/atom. The electronic total energy comes out at -2.725 eV/atom.

Question: Among the records above, which one has the lowest electronic total energy?
Answer: La2YH2

Question: Which of these has the highest electronic total energy?
Answer: NaEr2Hg